Entry from Alexandria via LeMat-Bulk: an optimized crystal structure of Hg2BIrPd (PBE).

Geometry as POSCAR:
```
Hg2BIrPd
1.0
5.244 0.000 0.000
0.000 3.948 0.000
0.000 0.000 5.244
Hg B Pd Ir
2 1 1 1
direct
0.500 0.000 0.000
0.000 0.000 0.500
0.000 0.500 0.000
0.500 0.500 0.500
0.000 0.000 0.000
```

* crystal system: tetragonal
* formation enthalpy at 0 K: 627 meV/atom
* total magnetization: 0.000 Bohr magnetons per cell
* electronic total energy: -3.640 eV/atom
* symmetry: P4/mmm